# SrAcH (PBE-GGA, optimized geometry)
data_SrAcH
_cell_length_a 7.133
_cell_length_b 4.089
_cell_length_c 7.187
_cell_angle_alpha 90.00
_cell_angle_beta 110.99
_cell_angle_gamma 90.00
_space_group_name_H-M_alt 'P 1 m 1'
_space_group_IT_number 6
loop_
_space_group_symop_operation_xyz
'x,y,z'
'x,-y,z'
loop_
_atom_site_label
_atom_site_fract_x
_atom_site_fract_y
_atom_site_fract_z
_atom_site_occupancy
Sr1 0.000 0.000 0.000 1
Sr2 0.488 0.500 0.000 1
Ac1 0.011 0.500 0.488 1
Ac2 0.469 0.000 0.500 1
H1 0.253 0.500 0.266 1
H2 0.383 0.500 0.638 1
# Total DFT energy (no corrections) ... -3.220 eV/atom
# E above lowest polymorph ... 0 meV/atom
# Total moment ... 0.0 μB per formula unit